# 1
# SrNiPdO4

A geometry-optimized SrNiPdO4 structure (GGA+U, Alexandria).

abc: 6.2301 6.3005 9.6417
angles: 90.00 90.00 90.00
Closest atoms and distances in Å follow each position.
Space group Imma (No. 74)
Unique sites:
1 Sr 0.0000 0.2500 0.1367  4 O 2.29-2.36
2 Ni 0.2500 0.2500 0.7500  6 O 2.11-2.22
3 Pd 0.0000 0.0000 0.5000  6 O 2.06
4 O 0.0000 0.0314 0.7127  1 Pd 2.06, 2 Ni 2.11, 1 Sr 2.29
5 O 0.2100 0.2500 0.5214  2 Pd 2.06, 1 Ni 2.22

***

# 2
# Sr3NiPd2O6

A geometry-optimized Sr3NiPd2O6 structure (GGA+U, Alexandria).

abc: 5.7094 5.7094 6.3994
angles: 90.00 90.00 120.00
Closest atoms and distances in Å follow each position.
Space group P-3m1 (No. 164)
Unique sites:
1 Sr 0.0000 0.0000 0.0000  6 O 2.55
2 Sr 0.3333 0.6667 0.6210  9 O 2.61-2.89
3 Ni 0.0000 0.0000 0.5000  6 O 2.02
4 Pd 0.3333 0.6667 0.1261  3 O 2.05
5 O 0.1631 0.3262 0.3096  1 Ni 2.02, 1 Pd 2.05

***

# 3
# SrNi2PdO4

A geometry-optimized SrNi2PdO4 structure (GGA+U, Alexandria).

abc: 5.4063 5.4063 6.7880
angles: 90.00 90.00 90.00
Closest atoms and distances in Å follow each position.
Space group I-42m (No. 121)
Unique sites:
1 Sr 0.0000 0.0000 0.0000  8 O 2.56-2.59
2 Ni 0.0000 0.5000 0.2500  4 O 1.93
3 Pd 0.0000 0.0000 0.5000  4 O 2.27
4 O 0.2235 0.2235 0.2809  2 Ni 1.93

***

# 4
# TbNiPdO4

A geometry-optimized TbNiPdO4 structure (GGA+U, Alexandria).

abc: 6.8233 6.9114 7.8847
angles: 90.00 90.00 90.00
Closest atoms and distances in Å follow each position.
Space group Imma (No. 74)
Unique sites:
1 Tb 0.0000 0.0000 0.0000  6 O 2.29
2 Ni 0.0000 0.2500 0.4518  2 O 1.93
3 Pd 0.2500 0.2500 0.7500  6 O 2.08-2.20
4 O 0.0000 0.0528 0.7132  2 Pd 2.20, 1 Tb 2.29, 1 Ni 2.46
5 O 0.2209 0.2500 0.0120  1 Ni 1.93, 1 Pd 2.08

***

# 5
# TiNi2PdO6

A geometry-optimized TiNi2PdO6 structure (GGA+U, Alexandria).

abc: 5.1126 5.1126 13.8790
angles: 90.00 90.00 120.00
Closest atoms and distances in Å follow each position.
Space group R3 (No. 146, hexagonal axes)
Unique sites:
1 Ti 0.0000 0.0000 0.0000  6 O 1.90-2.09
2 Ni 0.0000 0.0000 0.2027  6 O 2.05-2.09
3 Ni 0.0000 0.0000 0.7100  6 O 2.01-2.19
4 Pd 0.0000 0.0000 0.5083  6 O 2.01-2.07
5 O 0.0106 0.6470 0.2696  1 Ti 1.90, 1 Ni 2.05, 1 Pd 2.07
6 O 0.0159 0.3103 0.1009  2 Ni 2.01-2.09, 1 Pd 2.01, 1 Ti 2.09

***

# 6
# TmNiPdO4

A geometry-optimized TmNiPdO4 structure (GGA+U, Alexandria).

abc: 6.5755 6.9429 7.5756
angles: 90.00 90.00 90.00
Closest atoms and distances in Å follow each position.
Space group Imma (No. 74)
Unique sites:
1 Tm 0.2500 0.2500 0.2500  6 O 2.22-2.27
2 Ni 0.0000 0.2500 0.6961  4 O 2.01-2.24
3 Pd 0.0000 0.0000 0.0000  6 O 2.04-2.23
4 O 0.0000 0.0360 0.2669  1 Ni 2.01, 1 Pd 2.04, 2 Tm 2.22
5 O 0.2060 0.2500 0.9533  2 Pd 2.23, 2 Ni 2.24-2.37, 1 Tm 2.27

***

Record-wise VASP energy values, in Ha/atom: -0.2000 -0.1959 -0.1807 -0.2226 -0.2278 -0.2269